Record 1
First-principles (PBE) data for a relaxed structure of TlRe, as listed in Alexandria.

Summary:
magnetization	0.00	Bohr magnetons per cell
energy relative to the lowest polymorph listed for this composition	657	meV/atom
formation energy	1.141	eV/atom
space-group type	Pmmn (59)
energy	-25.1	eV/cell

a b c (Å): 3.025 4.856 5.053
angles (deg): 90.00 90.00 90.00
Atoms (fractional coordinates):
Re 0.500 0.500 0.837
Re 0.000 0.000 0.996
Tl 0.000 0.500 0.323
Tl 0.500 0.000 0.510

Record 2
First-principles (PBE) data for a relaxed structure of Tl4Re5, as listed in Alexandria.

Summary:
magnetization	0.00	Bohr magnetons per cell
energy relative to the lowest polymorph listed for this composition	0	meV/atom
formation energy	0.946	eV/atom
space-group type	I4/mmm (139)
energy	-63.2	eV/cell

a b c (Å): 6.840 6.840 6.840
angles (deg): 95.45 95.45 144.10
Atoms (fractional coordinates):
Tl 0.686 0.000 0.686
Tl 0.314 0.000 0.314
Tl 0.000 0.686 0.686
Tl 0.000 0.314 0.314
Re 0.362 0.638 0.000
Re 0.000 0.000 0.000
Re 0.638 0.638 0.275
Re 0.638 0.362 0.000
Re 0.362 0.362 0.725

Record 3
First-principles (PBE) data for a relaxed structure of TlRe, as listed in Alexandria.

Summary:
magnetization	0.00	Bohr magnetons per cell
energy relative to the lowest polymorph listed for this composition	251	meV/atom
formation energy	0.735	eV/atom
space-group type	Amm2 (38)
energy	-80.1	eV/cell

a b c (Å): 3.021 12.285 7.037
angles (deg): 90.00 90.00 90.00
Atoms (fractional coordinates):
Re 0.500 0.595 0.076
Re 0.500 0.905 0.576
Re 0.000 0.500 0.821
Re 0.500 0.405 0.076
Re 0.500 0.095 0.576
Re 0.000 0.000 0.321
Tl 0.000 0.734 0.780
Tl 0.500 0.000 0.968
Tl 0.000 0.234 0.280
Tl 0.000 0.266 0.780
Tl 0.500 0.500 0.468
Tl 0.000 0.766 0.280

Record 4
First-principles (PBE) data for a relaxed structure of TlRe, as listed in Alexandria.

Summary:
magnetization	0.00	Bohr magnetons per cell
energy relative to the lowest polymorph listed for this composition	733	meV/atom
formation energy	1.217	eV/atom
space-group type	R-3m (166)
energy	-12.4	eV/cell

a b c (Å): 4.950 4.950 4.950
angles (deg): 35.80 35.80 35.80
Atoms (fractional coordinates):
Re 0.000 0.000 0.000
Tl 0.500 0.500 0.500

Record 5
First-principles (PBE) data for a relaxed structure of TlRe, as listed in Alexandria.

Summary:
magnetization	0.00	Bohr magnetons per cell
energy relative to the lowest polymorph listed for this composition	579	meV/atom
formation energy	1.064	eV/atom
space-group type	Fddd (70)
energy	-203.0	eV/cell

a b c (Å): 8.305 14.696 5.375
angles (deg): 90.00 90.00 90.00
Atoms (fractional coordinates):
Tl 0.919 0.750 0.250
Tl 0.581 0.750 0.250
Tl 0.669 0.000 0.000
Tl 0.081 0.750 0.750
Tl 0.831 0.000 0.500
Tl 0.831 0.500 0.000
Tl 0.169 0.000 0.500
Tl 0.169 0.500 0.000
Tl 0.081 0.250 0.250
Tl 0.419 0.750 0.750
Tl 0.919 0.250 0.750
Tl 0.581 0.250 0.750
Tl 0.669 0.500 0.500
Tl 0.419 0.250 0.250
Tl 0.331 0.500 0.500
Tl 0.331 0.000 0.000
Re 0.000 0.585 0.500
Re 0.250 0.835 0.250
Re 0.250 0.665 0.250
Re 0.500 0.415 0.000
Re 0.750 0.665 0.750
Re 0.750 0.835 0.750
Re 0.750 0.335 0.250
Re 0.500 0.085 0.500
Re 0.000 0.415 0.500
Re 0.000 0.915 0.000
Re 0.000 0.085 0.000
Re 0.250 0.165 0.750
Re 0.250 0.335 0.750
Re 0.500 0.915 0.500
Re 0.500 0.585 0.000
Re 0.750 0.165 0.250

Record 6
First-principles (PBE) data for a relaxed structure of TlRe, as listed in Alexandria.

Summary:
magnetization	0.00	Bohr magnetons per cell
energy relative to the lowest polymorph listed for this composition	785	meV/atom
formation energy	1.269	eV/atom
space-group type	P6_3/mmc (194)
energy	-24.6	eV/cell

a b c (Å): 4.652 4.652 4.851
angles (deg): 90.00 90.00 120.00
Atoms (fractional coordinates):
Re 0.000 0.000 0.000
Re 0.000 0.000 0.500
Tl 0.667 0.333 0.750
Tl 0.333 0.667 0.250

Record 7
First-principles (PBE) data for a relaxed structure of TlRe3, as listed in Alexandria.

Summary:
magnetization	0.00	Bohr magnetons per cell
energy relative to the lowest polymorph listed for this composition	55	meV/atom
formation energy	0.583	eV/atom
space-group type	R-3m (166)
energy	-37.4	eV/cell

a b c (Å): 9.567 9.567 9.567
angles (deg): 17.26 17.26 17.26
Atoms (fractional coordinates):
Tl 0.000 0.000 0.000
Re 0.758 0.758 0.758
Re 0.500 0.500 0.500
Re 0.242 0.242 0.242

Record 8
First-principles (PBE) data for a relaxed structure of TlRe3, as listed in Alexandria.

Summary:
magnetization	0.00	Bohr magnetons per cell
energy relative to the lowest polymorph listed for this composition	266	meV/atom
formation energy	0.794	eV/atom
space-group type	Imm2 (44)
energy	-36.5	eV/cell

a b c (Å): 5.487 5.487 5.487
angles (deg): 148.94 127.94 61.87
Atoms (fractional coordinates):
Tl 0.387 0.750 0.637
Re 0.899 0.250 0.649
Re 0.003 0.979 0.023
Re 0.544 0.521 0.023

Record 9
First-principles (PBE) data for a relaxed structure of TlRe8, as listed in Alexandria.

Summary:
magnetization	0.00	Bohr magnetons per cell
formation energy	0.302	eV/atom
space-group type	I4/mmm (139)
energy	-99.2	eV/cell

a b c (Å): 6.324 6.324 6.324
angles (deg): 95.71 95.71 143.21
Atoms (fractional coordinates):
Re 0.345 0.000 0.345
Re 0.000 0.655 0.655
Re 0.319 0.319 0.637
Re 0.681 0.319 0.000
Re 0.000 0.345 0.345
Re 0.681 0.681 0.363
Re 0.319 0.681 0.000
Re 0.655 0.000 0.655
Tl 0.000 0.000 0.000

Record 10
First-principles (PBE) data for a relaxed structure of TlRe3, as listed in Alexandria.

Summary:
magnetization	0.00	Bohr magnetons per cell
energy relative to the lowest polymorph listed for this composition	243	meV/atom
formation energy	0.771	eV/atom
space-group type	Pmmn (59)
energy	-73.3	eV/cell

a b c (Å): 4.517 5.418 5.583
angles (deg): 90.00 90.00 90.00
Atoms (fractional coordinates):
Tl 0.000 0.613 0.000
Tl 0.500 0.387 0.500
Re 0.500 0.869 0.229
Re 0.000 0.131 0.729
Re 0.500 0.869 0.771
Re 0.000 0.704 0.500
Re 0.000 0.131 0.271
Re 0.500 0.296 0.000

Record 11
First-principles (PBE) data for a relaxed structure of TlRe, as listed in Alexandria.

Summary:
magnetization	0.00	Bohr magnetons per cell
energy relative to the lowest polymorph listed for this composition	711	meV/atom
formation energy	1.195	eV/atom
space-group type	P-6m2 (187)
energy	-12.4	eV/cell

a b c (Å): 3.037 3.037 4.648
angles (deg): 90.00 90.00 120.00
Atoms (fractional coordinates):
Tl 0.333 0.667 0.500
Re 0.000 0.000 0.000

Record 12
First-principles (PBE) data for a relaxed structure of Tl5Re, as listed in Alexandria.

Summary:
magnetization	1.51	Bohr magnetons per cell
energy relative to the lowest polymorph listed for this composition	78	meV/atom
formation energy	0.567	eV/atom
space-group type	P4/mmm (123)
energy	-20.9	eV/cell

a b c (Å): 3.234 3.234 15.116
angles (deg): 90.00 90.00 90.00
Site moments in Bohr magnetons follow the coordinates.
Atoms (fractional coordinates):
Tl 0.000 0.000 0.628  0.01
Tl 0.000 0.000 0.372  0.01
Tl 0.500 0.500 0.809  -0.01
Tl 0.000 0.000 0.000  0.00
Tl 0.500 0.500 0.191  -0.01
Re 0.500 0.500 0.500  1.33

Record 13
First-principles (PBE) data for a relaxed structure of TlRe, as listed in Alexandria.

Summary:
magnetization	2.21	Bohr magnetons per cell
energy relative to the lowest polymorph listed for this composition	1069	meV/atom
formation energy	1.553	eV/atom
space-group type	P4_2/mnm (136)
energy	-46.8	eV/cell

a b c (Å): 5.939 5.939 5.471
angles (deg): 90.00 90.00 90.00
Site moments in Bohr magnetons follow the coordinates.
Atoms (fractional coordinates):
Tl 0.314 0.686 0.500  0.00
Tl 0.686 0.314 0.500  0.00
Tl 0.814 0.814 0.000  0.00
Tl 0.186 0.186 0.000  0.00
Re 0.635 0.365 0.000  0.48
Re 0.865 0.865 0.500  0.48
Re 0.365 0.635 0.000  0.48
Re 0.135 0.135 0.500  0.48

Record 14
First-principles (PBE) data for a relaxed structure of TlRe3, as listed in Alexandria.

Summary:
magnetization	0.00	Bohr magnetons per cell
energy relative to the lowest polymorph listed for this composition	511	meV/atom
formation energy	1.039	eV/atom
space-group type	Pm-3n (223)
energy	-71.1	eV/cell

a b c (Å): 5.110 5.110 5.110
angles (deg): 90.00 90.00 90.00
Atoms (fractional coordinates):
Re 0.750 0.500 0.000
Re 0.500 0.000 0.750
Re 0.250 0.500 0.000
Re 0.000 0.750 0.500
Re 0.000 0.250 0.500
Re 0.500 0.000 0.250
Tl 0.500 0.500 0.500
Tl 0.000 0.000 0.000

Record 15
First-principles (PBE) data for a relaxed structure of TlRe3, as listed in Alexandria.

Summary:
magnetization	0.00	Bohr magnetons per cell
energy relative to the lowest polymorph listed for this composition	562	meV/atom
formation energy	1.090	eV/atom
space-group type	Pm-3m (221)
energy	-35.4	eV/cell

a b c (Å): 4.040 4.040 4.040
angles (deg): 90.00 90.00 90.00
Atoms (fractional coordinates):
Re 0.500 0.000 0.500
Re 0.500 0.500 0.000
Re 0.000 0.500 0.500
Tl 0.000 0.000 0.000

Record 16
First-principles (PBE) data for a relaxed structure of Tl4Re5, as listed in Alexandria.

Summary:
magnetization	0.01	Bohr magnetons per cell
energy relative to the lowest polymorph listed for this composition	489	meV/atom
formation energy	1.435	eV/atom
space-group type	P6_3/mcm (193)
energy	-117.6	eV/cell

a b c (Å): 8.273 8.273 5.527
angles (deg): 90.00 90.00 120.00
Atoms (fractional coordinates):
Re 0.667 0.333 0.000
Re 0.333 0.667 0.500
Re 0.687 0.687 0.750
Re 0.313 0.313 0.250
Re 0.000 0.313 0.750
Re 0.333 0.667 0.000
Re 0.687 0.000 0.250
Re 0.667 0.333 0.500
Re 0.000 0.687 0.250
Re 0.313 0.000 0.750
Tl 0.360 0.000 0.250
Tl 0.000 0.640 0.750
Tl 0.360 0.360 0.750
Tl 0.000 0.360 0.250
Tl 0.640 0.000 0.750
Tl 0.000 0.000 0.000
Tl 0.640 0.640 0.250
Tl 0.000 0.000 0.500

Record 17
First-principles (PBE) data for a relaxed structure of TlRe, as listed in Alexandria.

Summary:
magnetization	0.00	Bohr magnetons per cell
energy relative to the lowest polymorph listed for this composition	0	meV/atom
formation energy	0.484	eV/atom
space-group type	P2_1/m (11)
energy	-27.7	eV/cell

a b c (Å): 3.071 3.060 9.020
angles (deg): 80.50 90.00 90.00
Atoms (fractional coordinates):
Tl 0.000 0.287 0.542
Tl 0.500 0.463 0.208
Re 0.000 0.087 0.953
Re 0.500 0.663 0.797

Record 18
First-principles (PBE) data for a relaxed structure of TlRe, as listed in Alexandria.

Summary:
magnetization	0.00	Bohr magnetons per cell
energy relative to the lowest polymorph listed for this composition	392	meV/atom
formation energy	0.877	eV/atom
space-group type	P4/nmm (129)
energy	-26.1	eV/cell

a b c (Å): 3.569 3.569 7.517
angles (deg): 90.00 90.00 90.00
Atoms (fractional coordinates):
Tl 0.250 0.250 0.339
Tl 0.750 0.750 0.661
Re 0.250 0.750 0.000
Re 0.750 0.250 0.000

Record 19
First-principles (PBE) data for a relaxed structure of TlRe3, as listed in Alexandria.

Summary:
magnetization	0.00	Bohr magnetons per cell
energy relative to the lowest polymorph listed for this composition	440	meV/atom
formation energy	0.968	eV/atom
space-group type	I4/mmm (139)
energy	-71.7	eV/cell

a b c (Å): 8.741 8.741 8.741
angles (deg): 153.30 153.30 38.12
Atoms (fractional coordinates):
Tl 0.381 0.381 0.000
Tl 0.619 0.619 0.000
Re 0.000 0.500 0.500
Re 0.855 0.855 0.000
Re 0.250 0.750 0.500
Re 0.500 0.000 0.500
Re 0.145 0.145 0.000
Re 0.750 0.250 0.500

Record 20
First-principles (PBE) data for a relaxed structure of Tl8Re, as listed in Alexandria.

Summary:
magnetization	0.01	Bohr magnetons per cell
formation energy	0.461	eV/atom
space-group type	I4/mmm (139)
energy	-27.2	eV/cell

a b c (Å): 8.362 8.362 8.362
angles (deg): 93.04 93.04 153.38
Atoms (fractional coordinates):
Tl 0.642 0.642 0.284
Tl 0.326 0.000 0.326
Tl 0.674 0.000 0.674
Tl 0.000 0.674 0.674
Tl 0.642 0.358 0.000
Tl 0.000 0.326 0.326
Tl 0.358 0.358 0.716
Tl 0.358 0.642 0.000
Re 0.000 0.000 0.000

Record 21
First-principles (PBE) data for a relaxed structure of TlRe3, as listed in Alexandria.

Summary:
magnetization	12.02	Bohr magnetons per cell
energy relative to the lowest polymorph listed for this composition	4056	meV/atom
formation energy	4.583	eV/atom
space-group type	Pm-3m (221)
energy	-21.4	eV/cell

a b c (Å): 5.390 5.390 5.390
angles (deg): 90.00 90.00 90.00
Site moments in Bohr magnetons follow the coordinates.
Atoms (fractional coordinates):
Re 0.500 0.000 0.000  3.30
Re 0.000 0.000 0.500  3.30
Re 0.000 0.500 0.000  3.30
Tl 0.000 0.000 0.000  -0.04

Record 22
First-principles (PBE) data for a relaxed structure of Tm2TlRe, as listed in Alexandria.

Summary:
magnetization	0.00	Bohr magnetons per cell
formation energy	-0.102	eV/atom
space-group type	P4/mmm (123)
energy	-24.2	eV/cell

a b c (Å): 3.482 3.482 7.684
angles (deg): 90.00 90.00 90.00
Atoms (fractional coordinates):
Tl 0.500 0.500 0.500
Tm 0.000 0.000 0.791
Tm 0.000 0.000 0.209
Re 0.500 0.500 0.000

Record 23
First-principles (PBE) data for a relaxed structure of TlVRe2, as listed in Alexandria.

Summary:
magnetization	0.02	Bohr magnetons per cell
energy relative to the lowest polymorph listed for this composition	337	meV/atom
formation energy	1.037	eV/atom
space-group type	I-42d (122)
energy	-64.5	eV/cell

a b c (Å): 3.974 3.974 9.799
angles (deg): 78.30 78.30 90.00
Atoms (fractional coordinates):
V 0.250 0.750 0.500
V 0.500 0.500 0.000
Re 0.375 0.445 0.750
Re 0.555 0.125 0.250
Re 0.875 0.805 0.750
Re 0.195 0.625 0.250
Tl 0.000 0.000 0.000
Tl 0.750 0.250 0.500

Record 24
First-principles (PBE) data for a relaxed structure of TlV3Re, as listed in Alexandria.

Summary:
magnetization	5.43	Bohr magnetons per cell
formation energy	2.412	eV/atom
space-group type	Pm-3m (221)
energy	-30.1	eV/cell

a b c (Å): 4.916 4.916 4.916
angles (deg): 90.00 90.00 90.00
Site moments in Bohr magnetons follow the coordinates.
Atoms (fractional coordinates):
Re 0.500 0.500 0.500  -2.71
V 0.000 0.000 0.500  2.34
V 0.000 0.500 0.000  2.34
V 0.500 0.000 0.000  2.34
Tl 0.000 0.000 0.000  0.02

Record 25
First-principles (PBE) data for a relaxed structure of Tl3VRe, as listed in Alexandria.

Summary:
magnetization	3.61	Bohr magnetons per cell
energy relative to the lowest polymorph listed for this composition	0	meV/atom
formation energy	1.263	eV/atom
space-group type	Pm-3m (221)
energy	-22.4	eV/cell

a b c (Å): 5.309 5.309 5.309
angles (deg): 90.00 90.00 90.00
Site moments in Bohr magnetons follow the coordinates.
Atoms (fractional coordinates):
Tl 0.000 0.000 0.500  -0.01
Tl 0.000 0.500 0.000  -0.01
Tl 0.500 0.000 0.000  -0.01
Re 0.000 0.000 0.000  -0.36
V 0.500 0.500 0.500  3.20